1.
Below is CsMgTa after structural relaxation, with properties calculated at the PBE-GGA level.

abc: 7.874 3.363 15.685
angles: 90.00 90.00 90.00
Fractional coordinates of all 12 atoms:
Cs1 0.128 0.250 0.221
Cs2 0.372 0.750 0.721
Cs3 0.628 0.250 0.279
Cs4 0.872 0.750 0.779
Mg1 0.173 0.250 0.976
Mg2 0.327 0.750 0.476
Mg3 0.673 0.250 0.524
Mg4 0.827 0.750 0.024
Ta1 0.042 0.250 0.557
Ta2 0.458 0.750 0.057
Ta3 0.542 0.250 0.943
Ta4 0.958 0.750 0.443

Calculated values
The calculation puts the formation energy from the elements at 822 meV per atom. For the calculated volume, the calculation gives 34.61 Å³/atom. For the total energy, the calculation gives -47.34 eV for the cell shown.


2.
Below is SmGa2SiNi4 after structural relaxation, with properties calculated at the PBE-GGA level.

abc: 8.666 8.666 8.666
angles: 26.98 26.98 26.98
Fractional coordinates of all 8 atoms:
Sm1 0.000 0.000 0.000
Ga1 0.245 0.245 0.245
Ga2 0.755 0.755 0.755
Si1 0.500 0.500 0.500
Ni1 0.139 0.139 0.139
Ni2 0.410 0.410 0.410
Ni3 0.590 0.590 0.590
Ni4 0.861 0.861 0.861

Calculated values
For the calculated volume, the calculation gives 14.77 Å³/atom. For the total energy, the calculation gives -43.26 eV for the cell shown. The raw formation energy comes out at -3.94 eV/f.u.